TbMg8Ag2 | GGA-PBE | optimized geometry

abc: 5.316 7.488 7.488
angles: 113.70 80.73 80.73
Atoms (fractional coordinates):
Mg 0.904 0.321 0.079
Mg 0.703 0.593 0.593
Ag 0.000 0.307 0.693
Mg 0.904 0.079 0.321
Tb 0.500 0.000 0.000
Mg 0.096 0.679 0.921
Mg 0.500 0.258 0.742
Mg 0.500 0.742 0.258
Mg 0.096 0.921 0.679
Mg 0.297 0.407 0.407
Ag 0.000 0.693 0.307

Total energy in eV per atom: -2.114
Crystal system: monoclinic
ΔH_f (0 K) in meV per atom: -15



Tb6MgAg5 | GGA-PBE | optimized geometry

abc: 5.192 7.314 9.021
angles: 113.92 106.77 90.00
Atoms (fractional coordinates):
Tb 0.170 0.917 0.341
Ag 0.333 0.333 0.666
Tb 0.500 0.740 0.000
Tb 0.170 0.424 0.341
Mg 0.000 0.000 0.000
Tb 0.500 0.260 0.000
Ag 0.345 0.845 0.690
Ag 0.667 0.667 0.334
Ag 0.000 0.500 0.000
Tb 0.830 0.083 0.659
Ag 0.655 0.155 0.310
Tb 0.830 0.576 0.659

Total energy in eV per atom: -3.904
Crystal system: monoclinic
ΔH_f (0 K) in meV per atom: -268



Tb4MgAg3 | GGA-PBE | optimized geometry

abc: 3.598 4.867 11.669
angles: 90.00 90.00 90.00
Atoms (fractional coordinates):
Tb 0.000 0.500 0.836
Tb 0.500 0.000 0.646
Mg 0.500 0.500 0.069
Ag 0.500 0.000 0.925
Tb 0.000 0.000 0.164
Tb 0.500 0.500 0.356
Ag 0.000 0.500 0.574
Ag 0.000 0.000 0.428

Total energy in eV per atom: -3.777
Crystal system: orthorhombic
ΔH_f (0 K) in meV per atom: -194
Polymorph energy (0 for the lowest one) in eV/atom: 0.052



Tb3MgAg4 | GGA-PBE | optimized geometry

abc: 5.060 7.208 10.120
angles: 90.00 90.00 90.00
Atoms (fractional coordinates):
Ag 0.500 0.257 0.000
Ag 0.999 0.743 0.250
Ag 0.001 0.743 0.750
Mg 0.000 0.500 0.500
Tb 0.499 0.000 0.250
Ag 0.500 0.743 0.000
Tb 0.501 0.500 0.750
Tb 0.000 0.000 0.000
Tb 0.499 0.500 0.250
Ag 0.999 0.257 0.250
Mg 0.000 0.500 0.000
Ag 0.001 0.257 0.750
Tb 0.501 0.000 0.750
Tb 0.000 0.000 0.500
Ag 0.500 0.743 0.500
Ag 0.500 0.257 0.500

Total energy in eV per atom: -3.642
Crystal system: orthorhombic
ΔH_f (0 K) in meV per atom: -281



Tb6Mg5Ag | GGA-PBE | optimized geometry

abc: 5.347 7.488 8.463
angles: 90.00 71.59 90.00
Atoms (fractional coordinates):
Tb 0.836 0.250 0.327
Tb 0.836 0.750 0.327
Mg 0.673 0.000 0.654
Mg 0.332 0.500 0.337
Mg 0.000 0.500 0.000
Mg 0.327 0.000 0.346
Tb 0.164 0.750 0.673
Ag 0.000 0.000 0.000
Tb 0.500 0.755 0.000
Tb 0.500 0.245 0.000
Mg 0.668 0.500 0.663
Tb 0.164 0.250 0.673

Total energy in eV per atom: -3.326
Crystal system: orthorhombic
ΔH_f (0 K) in meV per atom: -109



TbMg9Ag2 | GGA-PBE | optimized geometry

abc: 7.565 9.239 9.239
angles: 80.35 65.83 65.83
Atoms (fractional coordinates):
Ag 0.875 0.750 0.250
Ag 0.375 0.750 0.750
Mg 0.434 0.820 0.423
Ag 0.875 0.250 0.750
Mg 0.750 0.500 0.500
Mg 0.746 0.820 0.577
Tb 0.500 0.000 0.000
Mg 0.677 0.180 0.577
Mg 0.000 0.000 0.000
Mg 0.434 0.423 0.820
Mg 0.004 0.923 0.680
Mg 0.073 0.923 0.320
Mg 0.606 0.320 0.077
Ag 0.875 0.250 0.250
Mg 0.144 0.423 0.180
Mg 0.073 0.320 0.923
Mg 0.606 0.077 0.320
Mg 0.316 0.680 0.077
Mg 0.144 0.180 0.423
Mg 0.316 0.077 0.680
Mg 0.746 0.577 0.820
Mg 0.677 0.577 0.180
Tb 0.250 0.500 0.500
Mg 0.004 0.680 0.923

Total energy in eV per atom: -2.157
Crystal system: tetragonal
ΔH_f (0 K) in meV per atom: -100



TbMg11Ag | GGA-PBE | optimized geometry

abc: 5.776 7.694 7.754
angles: 82.31 68.13 68.93
Atoms (fractional coordinates):
Mg 0.504 0.214 0.792
Mg 0.009 0.645 0.345
Tb 0.000 0.000 0.000
Mg 0.000 0.000 0.500
Mg 0.297 0.214 0.208
Mg 0.354 0.645 0.655
Ag 0.500 0.500 0.000
Mg 0.496 0.786 0.208
Mg 0.991 0.355 0.655
Mg 0.703 0.786 0.792
Mg 0.646 0.355 0.345
Mg 0.500 0.000 0.500
Mg 0.000 0.500 0.000

Total energy in eV per atom: -1.987
Crystal system: monoclinic
ΔH_f (0 K) in meV per atom: -62



Tb4Mg3Ag4 | GGA-PBE | optimized geometry

abc: 3.334 9.259 9.971
angles: 117.66 99.62 90.00
Atoms (fractional coordinates):
Ag 0.500 0.196 0.000
Tb 0.661 0.478 0.323
Ag 0.275 0.775 0.550
Mg 0.092 0.092 0.184
Tb 0.339 0.155 0.677
Mg 0.000 0.500 0.000
Tb 0.661 0.845 0.323
Mg 0.908 0.908 0.816
Tb 0.339 0.522 0.677
Ag 0.500 0.804 0.000
Ag 0.725 0.225 0.450

Total energy in eV per atom: -3.248
Crystal system: orthorhombic
ΔH_f (0 K) in meV per atom: -92



TbMgAg | GGA-PBE | optimized geometry

abc: 4.848 4.848 4.848
angles: 60.00 60.00 60.00
Atoms (fractional coordinates):
Tb 0.000 0.000 0.000
Mg 0.500 0.500 0.500
Ag 0.250 0.250 0.250

Total energy in eV per atom: -3.095
Crystal system: cubic
ΔH_f (0 K) in meV per atom: -69



Tb2Mg2Ag | GGA-PBE | optimized geometry

abc: 3.582 3.640 11.354
angles: 80.77 61.75 90.00
Atoms (fractional coordinates):
Tb 0.223 0.908 0.185
Ag 0.000 0.500 0.000
Tb 0.777 0.092 0.815
Mg 0.617 0.705 0.588
Mg 0.383 0.295 0.412

Total energy in eV per atom: -3.203
Crystal system: orthorhombic
ΔH_f (0 K) in meV per atom: -143



TbMgAg2 | GGA-PBE | optimized geometry

abc: 3.497 3.497 7.064
angles: 90.00 90.00 90.00
Atoms (fractional coordinates):
Ag 0.000 0.000 0.774
Ag 0.000 0.000 0.226
Mg 0.500 0.500 0.000
Tb 0.500 0.500 0.500

Total energy in eV per atom: -3.239
Crystal system: tetragonal
ΔH_f (0 K) in meV per atom: -257



Tb2Mg3Ag2 | GGA-PBE | optimized geometry

abc: 4.322 5.720 7.455
angles: 95.77 90.00 112.20
Atoms (fractional coordinates):
Mg 0.688 0.376 0.868
Mg 0.312 0.624 0.132
Mg 0.000 0.000 0.000
Ag 0.090 0.180 0.654
Ag 0.910 0.820 0.346
Tb 0.625 0.250 0.350
Tb 0.375 0.750 0.650

Total energy in eV per atom: -3.005
Crystal system: monoclinic
ΔH_f (0 K) in meV per atom: -184
Polymorph energy (0 for the lowest one) in eV/atom: 0.046